1.
Ta2NbP2 | PBE | relaxed

Results
* energy relative to the elements: -316 kJ/mol of formula units
* total DFT energy (no corrections): -9.57 eV per atom
* space group: P4/mbm, No. 127

Cell: 6.7787 6.7787 3.3839 Å, 90.00 90.00 90.00°
Closest atoms and distances in Å follow each position.
Positions (direct):
Ta1 0.1508 0.3492 0.0000  6 P 2.58-2.63, 1 Ta 2.89
Ta2 0.3492 0.8492 0.0000  6 P 2.58-2.63, 1 Ta 2.89
Ta3 0.6508 0.1508 0.0000  6 P 2.58-2.63, 1 Ta 2.89
Ta4 0.8492 0.6508 0.0000  6 P 2.58-2.63, 1 Ta 2.89
Nb1 0.0000 0.0000 0.5000  4 P 2.60
Nb2 0.5000 0.5000 0.5000  4 P 2.60
P1 0.1456 0.6456 0.5000  6 Ta 2.58-2.63, 2 Nb 2.60, 1 P 2.79
P2 0.3544 0.1456 0.5000  6 Ta 2.58-2.63, 2 Nb 2.60, 1 P 2.79
P3 0.6456 0.8544 0.5000  6 Ta 2.58-2.63, 2 Nb 2.60, 1 P 2.79
P4 0.8544 0.3544 0.5000  6 Ta 2.58-2.63, 2 Nb 2.60, 1 P 2.79



2.
Zr2TlCd | PBE | relaxed

Results
* energy relative to the elements: -16 kJ/mol of formula units
* total DFT energy (no corrections): -5.14 eV per atom
* space group: Cm, No. 8

Cell: 11.6092 3.3324 5.2550 Å, 90.00 116.47 90.00°
Closest atoms and distances in Å follow each position.
Positions (direct):
Zr1 0.0000 0.0000 0.0000  4 Zr 3.08-3.33, 4 Cd 3.11, 2 Tl 3.17
Zr2 0.2487 0.5000 0.2426  4 Zr 3.08-3.33, 4 Tl 3.11, 2 Cd 3.11
Zr3 0.5000 0.5000 0.0000  4 Zr 3.08-3.33, 4 Cd 3.11, 2 Tl 3.17
Zr4 0.7487 0.0000 0.2426  4 Zr 3.08-3.33, 4 Tl 3.11, 2 Cd 3.11
Tl1 0.2407 0.0000 0.7343  2 Cd 2.99, 6 Zr 3.11-3.17, 2 Tl 3.33
Tl2 0.7407 0.5000 0.7343  2 Cd 2.99, 6 Zr 3.11-3.17, 2 Tl 3.33
Cd1 0.0015 0.5000 0.5018  2 Tl 2.99, 6 Zr 3.11, 2 Cd 3.33
Cd2 0.5015 0.0000 0.5018  2 Tl 2.99, 6 Zr 3.11, 2 Cd 3.33



3.
Li2BrF | PBE | relaxed

Results
* total DFT energy (no corrections): -3.66 eV per atom
* space group: Fm-3m, No. 225
* distance to the lowest polymorph of the same formula: 400 meV/atom

Cell: 6.1766 6.1766 6.1766 Å, 90.00 90.00 90.00°
Closest atoms and distances in Å follow each position.
Positions (direct):
Li1 0.2500 0.2500 0.2500  4 F 2.67, 4 Br 2.67
Li2 0.2500 0.2500 0.7500  4 Br 2.67, 4 F 2.67
Li3 0.2500 0.7500 0.2500  4 Br 2.67, 4 F 2.67
Li4 0.2500 0.7500 0.7500  4 F 2.67, 4 Br 2.67
Li5 0.7500 0.2500 0.2500  4 Br 2.67, 4 F 2.67
Li6 0.7500 0.2500 0.7500  4 F 2.67, 4 Br 2.67
Li7 0.7500 0.7500 0.2500  4 F 2.67, 4 Br 2.67
Li8 0.7500 0.7500 0.7500  4 Br 2.67, 4 F 2.67
Br1 0.0000 0.0000 0.0000  8 Li 2.67
Br2 0.0000 0.5000 0.5000  8 Li 2.67
Br3 0.5000 0.0000 0.5000  8 Li 2.67
Br4 0.5000 0.5000 0.0000  8 Li 2.67
F1 0.0000 0.0000 0.5000  8 Li 2.67
F2 0.0000 0.5000 0.0000  8 Li 2.67
F3 0.5000 0.0000 0.0000  8 Li 2.67
F4 0.5000 0.5000 0.5000  8 Li 2.67



4.
CsRbRhCl6 | PBE | relaxed

Results
* total DFT energy (no corrections): -3.38 eV per atom
* space group: P312, No. 149

Cell: 7.7058 7.7058 6.6830 Å, 90.00 90.00 120.00°
Closest atoms and distances in Å follow each position.
Positions (direct):
Cs1 0.0000 0.0000 0.0000  6 Cl 3.55
Rb1 0.3333 0.6667 0.5000  6 Cl 3.26
Rh1 0.6667 0.3333 0.5000  6 Cl 2.35
Cl1 0.4184 0.0859 0.7051  1 Rh 2.35
Cl2 0.4184 0.3325 0.2949  1 Rh 2.35
Cl3 0.6675 0.0859 0.2949  1 Rh 2.35
Cl4 0.6675 0.5816 0.7051  1 Rh 2.35
Cl5 0.9141 0.3325 0.7051  1 Rh 2.35
Cl6 0.9141 0.5816 0.2949  1 Rh 2.35



5.
Sc2NbAu | PBE | relaxed

Results
* energy relative to the elements: 89 kJ/mol of formula units
* total DFT energy (no corrections): -6.27 eV per atom
* space group: I-42d, No. 122
* distance to the lowest polymorph of the same formula: 554 meV/atom

Cell: 4.1780 4.1780 19.3534 Å, 90.00 90.00 90.00°
Closest atoms and distances in Å follow each position.
Positions (direct):
Sc1 0.2481 0.2500 0.1250  2 Nb 2.83, 2 Au 2.84, 4 Sc 2.94-2.97
Sc2 0.2500 0.7481 0.3750  2 Nb 2.83, 2 Au 2.84, 4 Sc 2.94-2.97
Sc3 0.2500 0.7519 0.8750  2 Nb 2.83, 2 Au 2.84, 4 Sc 2.94-2.97
Sc4 0.2519 0.2500 0.6250  2 Nb 2.83, 2 Au 2.84, 4 Sc 2.94-2.97
Sc5 0.7481 0.7500 0.6250  2 Nb 2.83, 2 Au 2.84, 4 Sc 2.94-2.97
Sc6 0.7500 0.2481 0.8750  2 Nb 2.83, 2 Au 2.84, 4 Sc 2.94-2.97
Sc7 0.7500 0.2519 0.3750  2 Nb 2.83, 2 Au 2.84, 4 Sc 2.94-2.97
Sc8 0.7519 0.7500 0.1250  2 Nb 2.83, 2 Au 2.84, 4 Sc 2.94-2.97
Nb1 0.0000 0.0000 0.0000  4 Sc 2.83, 4 Au 2.95
Nb2 0.0000 0.5000 0.2500  4 Sc 2.83, 4 Au 2.95
Nb3 0.5000 0.0000 0.7500  4 Sc 2.83, 4 Au 2.95
Nb4 0.5000 0.5000 0.5000  4 Sc 2.83, 4 Au 2.95
Au1 0.0000 0.0000 0.5000  4 Sc 2.84, 4 Nb 2.95
Au2 0.0000 0.5000 0.7500  4 Sc 2.84, 4 Nb 2.95
Au3 0.5000 0.0000 0.2500  4 Sc 2.84, 4 Nb 2.95
Au4 0.5000 0.5000 0.0000  4 Sc 2.84, 4 Nb 2.95



6.
LaPrHo5Th2 | PBE | relaxed

Results
* energy relative to the elements: 270 kJ/mol of formula units
* total DFT energy (no corrections): -4.96 eV per atom
* space group: I4/mcm, No. 140

Cell: 9.9175 9.9175 9.9175 Å, 126.54 126.54 79.00°
Closest atoms and distances in Å follow each position.
Positions (direct):
La1 0.2500 0.2500 0.0000  10 Ho 3.66-3.83
La2 0.7500 0.7500 0.0000  10 Ho 3.66-3.83
Pr1 0.2500 0.7500 0.5000  4 Ho 3.13
Pr2 0.7500 0.2500 0.5000  4 Ho 3.13
Ho1 0.0000 0.0000 0.0000  4 Th 3.56, 8 Ho 3.81, 2 La 3.83
Ho2 0.0703 0.5703 0.9105  1 Th 3.03, 1 Pr 3.13
Ho3 0.1598 0.0703 0.5000  1 Th 3.03, 1 Pr 3.13
Ho4 0.3402 0.8402 0.9105  1 Th 3.03, 1 Pr 3.13
Ho5 0.4297 0.3402 0.5000  1 Th 3.03, 1 Pr 3.13
Ho6 0.5000 0.5000 0.0000  4 Th 3.56, 8 Ho 3.81, 2 La 3.83
Ho7 0.5703 0.6598 0.5000  1 Th 3.03, 1 Pr 3.13
Ho8 0.6598 0.1598 0.0895  1 Th 3.03, 1 Pr 3.13
Ho9 0.8402 0.9297 0.5000  1 Th 3.03, 1 Pr 3.13
Ho10 0.9297 0.4297 0.0895  1 Th 3.03, 1 Pr 3.13
Th1 0.1187 0.3813 0.5000  1 Th 3.00, 2 Ho 3.03
Th2 0.3813 0.8813 0.2626  1 Th 3.00, 2 Ho 3.03
Th3 0.6187 0.1187 0.7374  1 Th 3.00, 2 Ho 3.03
Th4 0.8813 0.6187 0.5000  1 Th 3.00, 2 Ho 3.03



7.
Tb2AlCu3Ni12 | PBE | relaxed

Results
* energy relative to the elements: 272 kJ/mol of formula units
* total DFT energy (no corrections): -5.10 eV per atom
* space group: R-3m, No. 166

Cell: 9.2896 9.2896 9.2896 Å, 37.05 37.05 37.05°
Closest atoms and distances in Å follow each position.
Positions (direct):
Tb1 0.1492 0.1492 0.1492  6 Ni 2.87-2.99
Tb2 0.8508 0.8508 0.8508  6 Ni 2.87-2.99
Al1 0.5000 0.5000 0.5000  6 Ni 2.33
Cu1 0.0000 0.5000 0.5000  6 Ni 2.33-2.52
Cu2 0.5000 0.0000 0.5000  6 Ni 2.33-2.52
Cu3 0.5000 0.5000 0.0000  6 Ni 2.33-2.52
Ni1 0.0792 0.0792 0.6885  4 Ni 2.31-2.34, 2 Cu 2.33
Ni2 0.0792 0.6885 0.0792  4 Ni 2.31-2.34, 2 Cu 2.33
Ni3 0.1437 0.5732 0.5732  1 Al 2.33, 4 Ni 2.34-2.54, 1 Cu 2.52
Ni4 0.3115 0.9208 0.9208  4 Ni 2.31-2.34, 2 Cu 2.33
Ni5 0.4268 0.4268 0.8563  1 Al 2.33, 4 Ni 2.34-2.54, 1 Cu 2.52
Ni6 0.4268 0.8563 0.4268  1 Al 2.33, 4 Ni 2.34-2.54, 1 Cu 2.52
Ni7 0.5732 0.1437 0.5732  1 Al 2.33, 4 Ni 2.34-2.54, 1 Cu 2.52
Ni8 0.5732 0.5732 0.1437  1 Al 2.33, 4 Ni 2.34-2.54, 1 Cu 2.52
Ni9 0.6885 0.0792 0.0792  4 Ni 2.31-2.34, 2 Cu 2.33
Ni10 0.8563 0.4268 0.4268  1 Al 2.33, 4 Ni 2.34-2.54, 1 Cu 2.52
Ni11 0.9208 0.3115 0.9208  4 Ni 2.31-2.34, 2 Cu 2.33
Ni12 0.9208 0.9208 0.3115  4 Ni 2.31-2.34, 2 Cu 2.33



8.
CdTe2Pb2 | PBE | relaxed

Results
* total DFT energy (no corrections): -3.04 eV per atom
* space group: P4/mbm, No. 127
* distance to the lowest polymorph of the same formula: 17 meV/atom

Cell: 8.7781 8.7781 4.2332 Å, 90.00 90.00 90.00°
Closest atoms and distances in Å follow each position.
Positions (direct):
Cd1 0.0000 0.0000 0.0000  4 Te 3.32
Cd2 0.5000 0.5000 0.0000  4 Te 3.32
Te1 0.1543 0.3457 0.0000  6 Pb 3.24-3.39, 2 Cd 3.32
Te2 0.3457 0.8457 0.0000  6 Pb 3.24-3.39, 2 Cd 3.32
Te3 0.6543 0.1543 0.0000  6 Pb 3.24-3.39, 2 Cd 3.32
Te4 0.8457 0.6543 0.0000  6 Pb 3.24-3.39, 2 Cd 3.32
Pb1 0.1480 0.6480 0.5000  6 Te 3.24-3.39
Pb2 0.3520 0.1480 0.5000  6 Te 3.24-3.39
Pb3 0.6480 0.8520 0.5000  6 Te 3.24-3.39
Pb4 0.8520 0.3520 0.5000  6 Te 3.24-3.39